[1]
{
  "formula": "TmMgTiGa",
  "functional": "GGA-PBE",
  "state": "optimized geometry",
  "lattice": [[-3.086, 3.712, 0.275], [-4.092, -0.441, 2.538], [-0.532, 2.398, 4.165]],
  "species": ["Mg", "Tm", "Ga", "Ti"],
  "fractional_positions": [[0.000, 0.000, 0.000], [0.750, 0.750, 0.750], [0.500, 0.500, 0.500], [0.250, 0.250, 0.250]],
  "formation_enthalpy_0k_ev_per_atom": -0.137,
  "dft_energy_ev_per_cell": -17.5,
  "spacegroup": "F-43m, No. 216",
  "m_tot_mub_per_cell": 0.0
}

---

[2]
{
  "formula": "TmH12Rh5",
  "functional": "GGA-PBE",
  "state": "optimized geometry",
  "lattice": [[4.200, 0.753, -2.256], [-1.729, 6.432, -1.537], [-0.199, -0.404, 5.412]],
  "species": ["Tm", "H", "H", "H", "H", "H", "H", "H", "H", "H", "H", "H", "H", "Rh", "Rh", "Rh", "Rh", "Rh"],
  "fractional_positions": [[0.000, 0.500, 0.500], [0.357, 0.783, 0.697], [0.643, 0.217, 0.303], [0.636, 0.017, 0.683], [0.364, 0.983, 0.317], [0.781, 0.789, 0.365], [0.219, 0.211, 0.635], [0.334, 0.610, 0.044], [0.666, 0.390, 0.956], [0.815, 0.729, 0.770], [0.185, 0.271, 0.230], [0.186, 0.071, 0.830], [0.814, 0.929, 0.170], [0.684, 0.671, 0.008], [0.316, 0.329, 0.992], [0.543, 0.250, 0.565], [0.457, 0.750, 0.435], [0.000, 0.000, 0.000]],
  "dft_energy_ev_per_cell": -83.7,
  "spacegroup": "P-1, No. 2",
  "m_tot_mub_per_cell": 0.0
}

---

[3]
{
  "formula": "TmTc4Sn",
  "functional": "GGA-PBE",
  "state": "optimized geometry",
  "lattice": [[5.298, 0.000, 0.000], [2.649, 4.588, 0.000], [2.649, 1.529, 4.326]],
  "species": ["Tm", "Sn", "Tc", "Tc", "Tc", "Tc"],
  "fractional_positions": [[0.250, 0.250, 0.250], [0.000, 0.000, 0.000], [0.626, 0.626, 0.122], [0.626, 0.122, 0.626], [0.626, 0.626, 0.626], [0.122, 0.626, 0.626]],
  "formation_enthalpy_0k_ev_per_atom": -0.022,
  "dft_energy_ev_per_cell": -50.1,
  "spacegroup": "F-43m, No. 216",
  "m_tot_mub_per_cell": 0.0
}

---

[4]
{
  "formula": "Tb4Pm2Er2Mg",
  "functional": "GGA-PBE",
  "state": "optimized geometry",
  "lattice": [[-1.365, 4.935, 4.867], [-4.521, -4.555, 5.567], [6.262, -1.573, -1.402]],
  "species": ["Tb", "Tb", "Tb", "Tb", "Pm", "Pm", "Er", "Er", "Mg"],
  "fractional_positions": [[0.655, 0.650, 0.843], [0.627, 0.780, 0.414], [0.345, 0.350, 0.157], [0.373, 0.220, 0.586], [0.168, 0.818, 0.517], [0.832, 0.182, 0.483], [0.859, 0.398, 0.162], [0.141, 0.602, 0.838], [0.000, 0.000, 0.000]],
  "formation_enthalpy_0k_ev_per_atom": 0.134,
  "dft_energy_ev_per_cell": -37.5,
  "spacegroup": "P-1, No. 2",
  "m_tot_mub_per_cell": 0.0
}

---

[5]
{
  "formula": "KTcAu",
  "functional": "GGA-PBE",
  "state": "optimized geometry",
  "lattice": [[-1.197, 5.685, -3.319], [0.064, 1.844, -6.431], [-1.894, -4.404, 4.667]],
  "species": ["Au", "K", "Tc"],
  "fractional_positions": [[0.050, 0.050, 0.000], [0.338, 0.338, 0.000], [0.613, 0.613, 0.000]],
  "formation_enthalpy_0k_ev_per_atom": 0.836,
  "dft_energy_ev_per_cell": -12.2,
  "de_polymorph_mev_per_atom": 174,
  "spacegroup": "I4mm, No. 107",
  "m_tot_mub_per_cell": 2.7
}

---

[6]
{
  "formula": "CaPa2In9",
  "functional": "GGA-PBE",
  "state": "optimized geometry",
  "lattice": [[4.657, 0.000, 0.000], [0.000, 4.657, 0.000], [0.000, 0.000, 14.046]],
  "species": ["Ca", "Pa", "Pa", "In", "In", "In", "In", "In", "In", "In", "In", "In"],
  "fractional_positions": [[0.000, 0.000, 0.000], [0.000, 0.000, 0.335], [0.000, 0.000, 0.665], [0.500, 0.500, 0.000], [0.500, 0.500, 0.335], [0.500, 0.500, 0.665], [0.500, 0.000, 0.168], [0.500, 0.000, 0.500], [0.500, 0.000, 0.832], [0.000, 0.500, 0.168], [0.000, 0.500, 0.500], [0.000, 0.500, 0.832]],
  "formation_enthalpy_0k_ev_per_atom": -0.188,
  "dft_energy_ev_per_cell": -47.9,
  "spacegroup": "P4/mmm, No. 123",
  "m_tot_mub_per_cell": 2.0
}

---

[7]
{
  "formula": "Nd2Al3ZnPt4",
  "functional": "GGA-PBE",
  "state": "optimized geometry",
  "lattice": [[4.323, 0.000, 0.000], [0.000, 4.323, 0.000], [0.000, 0.000, 10.320]],
  "species": ["Nd", "Nd", "Al", "Al", "Al", "Zn", "Pt", "Pt", "Pt", "Pt"],
  "fractional_positions": [[0.500, 0.000, 0.249], [0.000, 0.500, 0.751], [0.000, 0.000, 0.500], [0.500, 0.000, 0.876], [0.000, 0.500, 0.124], [0.500, 0.500, 0.500], [0.500, 0.500, 0.000], [0.000, 0.000, 0.000], [0.500, 0.000, 0.636], [0.000, 0.500, 0.364]],
  "formation_enthalpy_0k_ev_per_atom": -1.035,
  "dft_energy_ev_per_cell": -56.6,
  "spacegroup": "P-4m2, No. 115",
  "m_tot_mub_per_cell": 0.0
}

---

[8]
{
  "formula": "SnBiP",
  "functional": "GGA-PBE",
  "state": "optimized geometry",
  "lattice": [[3.338, -0.009, 0.033], [0.011, 5.856, -0.022], [1.402, 1.593, 8.846]],
  "species": ["Sn", "Sn", "Bi", "Bi", "P", "P"],
  "fractional_positions": [[0.117, 0.553, 0.821], [0.883, 0.447, 0.179], [0.428, 0.958, 0.175], [0.572, 0.042, 0.825], [0.756, 0.379, 0.487], [0.244, 0.621, 0.513]],
  "formation_enthalpy_0k_ev_per_atom": 0.054,
  "dft_energy_ev_per_cell": -26.3,
  "de_polymorph_mev_per_atom": 4,
  "spacegroup": "P-1, No. 2",
  "m_tot_mub_per_cell": 0.0
}

---

[9]
{
  "formula": "Li2La2TmTl5",
  "functional": "GGA-PBE",
  "state": "optimized geometry",
  "lattice": [[-0.766, -3.511, -1.561], [1.608, -4.918, 10.274], [-11.167, 1.368, 2.403]],
  "species": ["Li", "Li", "Li", "Li", "La", "La", "La", "La", "Tm", "Tm", "Tl", "Tl", "Tl", "Tl", "Tl", "Tl", "Tl", "Tl", "Tl", "Tl"],
  "fractional_positions": [[0.000, 0.123, 0.623], [0.000, 0.877, 0.377], [0.000, 0.623, 0.877], [0.000, 0.377, 0.123], [0.000, 0.674, 0.174], [0.000, 0.326, 0.826], [0.000, 0.174, 0.326], [0.000, 0.826, 0.674], [0.000, 0.000, 0.000], [0.000, 0.500, 0.500], [0.500, 0.210, 0.067], [0.500, 0.790, 0.933], [0.500, 0.067, 0.790], [0.500, 0.710, 0.433], [0.500, 0.933, 0.210], [0.500, 0.290, 0.567], [0.500, 0.567, 0.710], [0.500, 0.433, 0.290], [0.500, 0.500, 0.000], [0.500, 0.000, 0.500]],
  "formation_enthalpy_0k_ev_per_atom": -0.316,
  "dft_energy_ev_per_cell": -66.3,
  "spacegroup": "P4/mbm, No. 127",
  "m_tot_mub_per_cell": 0.0
}

---

[10]
{
  "formula": "Nd6Co2Rh",
  "functional": "GGA-PBE",
  "state": "optimized geometry",
  "lattice": [[7.950, 0.217, -2.862], [-4.096, 6.926, -2.586], [-0.052, -0.217, 8.449]],
  "species": ["Nd", "Nd", "Nd", "Nd", "Nd", "Nd", "Nd", "Nd", "Nd", "Nd", "Nd", "Nd", "Co", "Co", "Co", "Co", "Rh", "Rh"],
  "fractional_positions": [[0.554, 0.731, 0.823], [0.446, 0.269, 0.177], [0.092, 0.269, 0.823], [0.908, 0.731, 0.177], [0.818, 0.748, 0.566], [0.182, 0.252, 0.434], [0.182, 0.748, 0.930], [0.818, 0.252, 0.070], [0.681, 0.355, 0.674], [0.319, 0.645, 0.326], [0.319, 0.992, 0.674], [0.681, 0.008, 0.326], [0.500, 0.387, 0.887], [0.500, 0.613, 0.113], [0.673, 0.000, 0.673], [0.327, 0.000, 0.327], [0.000, 0.500, 0.500], [0.000, 0.000, 0.000]],
  "formation_enthalpy_0k_ev_per_atom": -0.187,
  "dft_energy_ev_per_cell": -103.7,
  "de_polymorph_mev_per_atom": 0,
  "spacegroup": "Immm, No. 71",
  "m_tot_mub_per_cell": 0.0
}

---

[11]
{
  "formula": "CaLa2Pb2",
  "functional": "GGA-PBE",
  "state": "optimized geometry",
  "lattice": [[8.407, 0.000, 0.000], [0.000, 8.407, 0.000], [0.000, 0.000, 4.788]],
  "species": ["Pb", "Pb", "Pb", "Pb", "Ca", "Ca", "La", "La", "La", "La"],
  "fractional_positions": [[0.371, 0.871, 0.000], [0.871, 0.629, 0.000], [0.629, 0.129, 0.000], [0.129, 0.371, 0.000], [0.000, 0.000, 0.000], [0.500, 0.500, 0.000], [0.174, 0.674, 0.500], [0.674, 0.826, 0.500], [0.826, 0.326, 0.500], [0.326, 0.174, 0.500]],
  "formation_enthalpy_0k_ev_per_atom": -0.601,
  "dft_energy_ev_per_cell": -44.6,
  "de_polymorph_mev_per_atom": 0,
  "spacegroup": "P4/mbm, No. 127",
  "m_tot_mub_per_cell": 0.0
}

---

[12]
{
  "formula": "LaCdFe2",
  "functional": "GGA-PBE",
  "state": "optimized geometry",
  "lattice": [[3.658, 0.000, 0.000], [0.000, 4.253, -0.001], [0.000, 2.125, 5.109]],
  "species": ["Cd", "Fe", "Fe", "La"],
  "fractional_positions": [[0.500, 0.767, 0.841], [0.000, 0.194, 0.989], [0.500, 0.062, 0.251], [0.000, 0.477, 0.420]],
  "formation_enthalpy_0k_ev_per_atom": 0.174,
  "dft_energy_ev_per_cell": -22.1,
  "spacegroup": "Amm2, No. 38",
  "m_tot_mub_per_cell": 3.6
}